No. 1
Here is a crystal of ZnNiOs2 relaxed with PBEsol from the Alexandria database. Energies are from meta-GGA SCAN.

a b c (Å): 2.7100 3.7015 5.2146
angles (deg): 90.00 90.00 90.00
Last column: nearest neighbours and their distance in Å.
Fractional coordinates of all 4 atoms:
Zn1 0.0000 0.0000 0.0000  4 Ni 2.55, 6 Os 2.56-2.74, 2 Zn 2.71
Ni1 0.5000 0.5000 0.2145  4 Zn 2.55, 6 Os 2.60-2.71, 2 Ni 2.71
Os1 0.0000 0.0000 0.4913  2 Zn 2.56-2.65, 6 Os 2.57-2.71, 4 Ni 2.71
Os2 0.5000 0.5000 0.7124  6 Os 2.57-2.71, 2 Ni 2.60-2.62, 4 Zn 2.74

Values from the calculation:
The energy is -43.264 eV per atom. The formation energy from the elements is 0.4 eV per formula unit. As for the space group: Pmm2, No. 25.

***

No. 2
Here is a crystal of ScSeI3 relaxed with PBEsol from the Alexandria database. Energies are from meta-GGA SCAN.

a b c (Å): 5.6574 5.6574 5.6574
angles (deg): 90.00 90.00 90.00
Last column: nearest neighbours and their distance in Å.
Fractional coordinates of all 5 atoms:
Sc1 0.0000 0.0000 0.0000  12 I 4.00
Se1 0.5000 0.5000 0.5000  6 I 2.83
I1 0.0000 0.5000 0.5000  2 Se 2.83
I2 0.5000 0.0000 0.5000  2 Se 2.83
I3 0.5000 0.5000 0.0000  2 Se 2.83

Values from the calculation:
The energy is -28.704 eV per atom. As for the space group: Pm-3m, No. 221. Its uncorrected formation energy is 20 kJ per mole of atoms.

***

No. 3
Here is a crystal of TcIN3 relaxed with PBEsol from the Alexandria database. Energies are from meta-GGA SCAN.

a b c (Å): 3.9455 3.9455 3.9455
angles (deg): 90.00 90.00 90.00
Last column: nearest neighbours and their distance in Å.
Fractional coordinates of all 5 atoms:
Tc1 0.0000 0.0000 0.0000  6 N 1.97
I1 0.5000 0.5000 0.5000  12 N 2.79
N1 0.0000 0.0000 0.5000  2 Tc 1.97
N2 0.0000 0.5000 0.0000  2 Tc 1.97
N3 0.5000 0.0000 0.0000  2 Tc 1.97

Values from the calculation:
The energy is -18.663 eV per atom. As for the space group: Pm-3m, No. 221. Its uncorrected formation energy is 123 kJ per mole of atoms.

***

No. 4
Here is a crystal of Li3MgHg relaxed with PBEsol from the Alexandria database. Energies are from meta-GGA SCAN.

a b c (Å): 4.9157 4.9157 4.9157
angles (deg): 90.00 90.00 90.00
Last column: nearest neighbours and their distance in Å.
Fractional coordinates of all 5 atoms:
Li1 0.0000 0.0000 0.5000  2 Hg 2.46
Li2 0.0000 0.5000 0.0000  2 Hg 2.46
Li3 0.5000 0.0000 0.0000  2 Hg 2.46
Mg1 0.5000 0.5000 0.5000  12 Li 3.48
Hg1 0.0000 0.0000 0.0000  6 Li 2.46

Values from the calculation:
The energy is -16.073 eV per atom. The formation energy from the elements is -0.1 eV per formula unit. As for the space group: Pm-3m, No. 221.

***

No. 5
Here is a crystal of Te3MoPd relaxed with PBEsol from the Alexandria database. Energies are from meta-GGA SCAN.

a b c (Å): 5.1586 5.1586 5.1586
angles (deg): 90.00 90.00 90.00
Last column: nearest neighbours and their distance in Å.
Fractional coordinates of all 5 atoms:
Te1 0.0000 0.0000 0.5000  2 Pd 2.58
Te2 0.0000 0.5000 0.0000  2 Pd 2.58
Te3 0.5000 0.0000 0.0000  2 Pd 2.58
Mo1 0.5000 0.5000 0.5000  12 Te 3.65
Pd1 0.0000 0.0000 0.0000  6 Te 2.58

Values from the calculation:
The energy is -35.099 eV per atom. As for the space group: Pm-3m, No. 221. Its uncorrected formation energy is 76 kJ per mole of atoms.

***

No. 6
Here is a crystal of NiAs2SeBr relaxed with PBEsol from the Alexandria database. Energies are from meta-GGA SCAN.

a b c (Å): 4.9862 4.9862 4.9436
angles (deg): 90.00 90.00 90.00
Last column: nearest neighbours and their distance in Å.
Fractional coordinates of all 5 atoms:
Ni1 0.0000 0.0000 0.0000  8 As 3.51, 4 Se 3.53
As1 0.0000 0.5000 0.5000  2 Br 2.49
As2 0.5000 0.0000 0.5000  2 Br 2.49
Se1 0.5000 0.5000 0.0000  2 Br 2.47
Br1 0.5000 0.5000 0.5000  2 Se 2.47, 4 As 2.49

Values from the calculation:
The energy is -17.572 eV per atom. As for the space group: P4/mmm, No. 123. Its uncorrected formation energy is 159 kJ per mole of atoms.

***

No. 7
Here is a crystal of AlRh5 relaxed with PBEsol from the Alexandria database. Energies are from meta-GGA SCAN.

a b c (Å): 4.6528 4.6528 4.3210
angles (deg): 90.00 90.00 120.00
Last column: nearest neighbours and their distance in Å.
Fractional coordinates of all 6 atoms:
Al1 0.0000 0.0000 0.0000  12 Rh 2.66-2.69
Rh1 0.0000 0.6649 0.5000  10 Rh 2.66-2.70, 2 Al 2.66
Rh2 0.3333 0.6667 0.0000  9 Rh 2.66-2.69, 3 Al 2.69
Rh3 0.3351 0.3351 0.5000  10 Rh 2.66-2.70, 2 Al 2.66
Rh4 0.6649 0.0000 0.5000  10 Rh 2.66-2.70, 2 Al 2.66
Rh5 0.6667 0.3333 0.0000  9 Rh 2.66-2.69, 3 Al 2.69

Values from the calculation:
The energy is -29.768 eV per atom. The formation energy from the elements is -2.0 eV per formula unit. As for the space group: P-62m, No. 189.

***

No. 8
Here is a crystal of MnTl2Hg relaxed with PBEsol from the Alexandria database. Energies are from meta-GGA SCAN.

a b c (Å): 9.7728 9.7728 9.7728
angles (deg): 19.51 19.51 19.51
Last column: nearest neighbours and their distance in Å.
Fractional coordinates of all 4 atoms:
Mn1 0.0000 0.0000 0.0000  3 Hg 2.76, 3 Tl 2.90
Tl1 0.2577 0.2577 0.2577  3 Mn 2.90
Tl2 0.4935 0.4935 0.4935  3 Hg 3.24, 9 Tl 3.31-3.39
Hg1 0.7361 0.7361 0.7361  3 Mn 2.76

Values from the calculation:
The energy is -57.683 eV per atom. The formation energy from the elements is 0.4 eV per formula unit. As for the space group: R3m, No. 160.